! Co2IrO | the Alexandria database | PBE with a Hubbard U | optimized geometry; values from VASP
! Electronic total energy ... -45.28 eV/cell
! Total moment ... 1.372 μB per atom
&SYSTEM
  ibrav = 0, nat = 8, ntyp = 3
/
ATOMIC_SPECIES
Ir 192.22 Ir.upf
Co 58.93 Co.upf
O 16.00 O.upf
CELL_PARAMETERS angstrom
6.206 0.000 0.000
0.000 6.206 0.000
3.103 3.103 2.507
ATOMIC_POSITIONS angstrom
Ir 0.000 0.000 0.000
Ir 6.206 3.103 1.254
Co 4.210 1.552 0.627
Co 1.996 4.655 0.627
Co 4.655 5.099 1.880
Co 7.758 7.314 1.880
O 3.103 3.103 0.000
O 3.103 6.206 1.254

=====

! CoIrO2 | the Alexandria database | PBE with a Hubbard U | optimized geometry; values from VASP
! Electronic total energy ... -48.96 eV/cell
! Total moment ... 0.710 μB per atom
&SYSTEM
  ibrav = 0, nat = 8, ntyp = 3
/
ATOMIC_SPECIES
Ir 192.22 Ir.upf
Co 58.93 Co.upf
O 16.00 O.upf
CELL_PARAMETERS angstrom
-3.477 0.031 -3.234
-0.069 -4.748 0.029
-4.803 -2.295 1.655
ATOMIC_POSITIONS angstrom
Ir 0.000 0.000 0.000
Ir -5.027 -2.311 -1.591
Co -1.773 -2.359 -1.603
Co -3.323 -4.701 0.041
O -3.301 -1.149 -1.529
O -1.760 -3.537 -0.048
O -4.934 -3.601 0.040
O -6.703 -5.738 -1.564

=====

! Co3IrO | the Alexandria database | PBE with a Hubbard U | optimized geometry; values from VASP
! Energy above the most stable polymorph in this dataset ... 1282 meV per atom
! Total moment ... 1.718 μB per atom
&SYSTEM
  ibrav = 0, nat = 5, ntyp = 3
/
ATOMIC_SPECIES
Ir 192.22 Ir.upf
Co 58.93 Co.upf
O 16.00 O.upf
CELL_PARAMETERS angstrom
-1.015 -2.432 -3.857
2.273 -3.696 1.732
-3.953 -1.500 1.986
ATOMIC_POSITIONS angstrom
Ir 0.000 0.000 0.000
Co 1.136 -1.848 0.866
Co -1.977 -0.750 0.993
Co -0.507 -1.216 -1.929
O -1.348 -3.814 -0.069